Cr2InIr after structural relaxation, computed with PBE.

Unit cell a=2.855 b=2.855 c=7.649 alpha=90.00 beta=90.00 gamma=90.00
Atoms (fractional coordinates):
Cr 0.000 0.000 0.222
Cr 0.000 0.000 0.778
In 0.500 0.500 0.500
Ir 0.500 0.500 0.000

Results
Its calculated total energy is -7.512 eV per atom. Its formation energy is 0.8 eV per formula unit.

---

Cr2InIr after structural relaxation, computed with PBE.

Unit cell a=3.861 b=3.875 c=4.192 alpha=90.00 beta=90.00 gamma=90.00
Atoms (fractional coordinates):
Cr 0.000 0.000 0.000
Cr 0.500 0.500 0.000
In 0.000 0.500 0.500
Ir 0.500 0.000 0.500

Results
Its calculated total energy is -7.634 eV per atom. Its formation energy is 0.3 eV per formula unit.

---

Cr2InIr after structural relaxation, computed with PBE.

Unit cell a=8.982 b=8.982 c=8.982 alpha=17.82 beta=17.82 gamma=17.82
Atoms (fractional coordinates):
Cr 0.245 0.245 0.245
Cr 0.755 0.755 0.755
In 0.000 0.000 0.000
Ir 0.500 0.500 0.500

Results
Its calculated total energy is -7.316 eV per atom. Its formation energy is 1.6 eV per formula unit.

---

CrInIr2 after structural relaxation, computed with PBE.

Unit cell a=4.720 b=2.877 c=4.892 alpha=90.00 beta=108.90 gamma=90.00
Atoms (fractional coordinates):
Cr 0.000 0.000 0.000
In 0.000 0.500 0.500
Ir 0.500 0.000 0.500
Ir 0.500 0.500 0.000

Results
Its calculated total energy is -7.399 eV per atom. Its formation energy is 0.5 eV per formula unit.

---

CrInIr2 after structural relaxation, computed with PBE.

Unit cell a=8.909 b=8.909 c=8.909 alpha=18.40 beta=18.40 gamma=18.40
Atoms (fractional coordinates):
Cr 0.000 0.000 0.000
In 0.500 0.500 0.500
Ir 0.258 0.258 0.258
Ir 0.742 0.742 0.742

Results
Its calculated total energy is -7.414 eV per atom. Its formation energy is 0.4 eV per formula unit.

---

Cr2InIr after structural relaxation, computed with PBE.

Unit cell a=4.566 b=4.566 c=3.008 alpha=90.00 beta=90.00 gamma=90.00
Atoms (fractional coordinates):
Cr 0.000 0.500 0.000
Cr 0.500 0.000 0.000
In 0.000 0.000 0.500
Ir 0.500 0.500 0.500

Results
Its calculated total energy is -7.420 eV per atom. Its formation energy is 1.2 eV per formula unit.

---

Question: The lowest calculated total energy belongs to which entry?
Answer: number 2

---

Question: What is the formula in the third record?
Answer: Cr2InIr